Record 1
Sr2MnCl: optimized geometry, PBE.

CIF file:
```
data_Sr2MnCl
_cell_length_a 5.3191
_cell_length_b 5.3738
_cell_length_c 8.4622
_cell_angle_alpha 90.00
_cell_angle_beta 90.00
_cell_angle_gamma 90.00
_space_group_name_H-M_alt 'C m m m'
_space_group_IT_number 65
_space_group_name_Hall '-C 2 2'
loop_
_atom_site_label
_atom_site_type_symbol
_atom_site_fract_x
_atom_site_fract_y
_atom_site_fract_z
Sr1 Sr 0.0000 0.0000 0.2392
Mn1 Mn 0.0000 0.5000 0.0000
Cl1 Cl 0.0000 0.5000 0.5000
```

Summary:
Its volume is 241.9 Å³ per cell. For the uncorrected formation energy, the calculation gives -0.44 eV/atom. The value obtained for the calculated density is 3.6 g/cm³. The size of the total moment is 3.50 μB/f.u.



Record 2
Pm7Se4S4: optimized geometry, PBE.

CIF file:
```
data_Pm7Se4S4
_cell_length_a 14.5982
_cell_length_b 14.5982
_cell_length_c 6.9993
_cell_angle_alpha 90.00
_cell_angle_beta 90.00
_cell_angle_gamma 90.00
_space_group_name_H-M_alt 'I 4/m m m'
_space_group_IT_number 139
_space_group_name_Hall '-I 4 2'
loop_
_atom_site_label
_atom_site_type_symbol
_atom_site_fract_x
_atom_site_fract_y
_atom_site_fract_z
Pm1 Pm 0.0000 0.0000 0.2485
Pm2 Pm 0.0000 0.2754 0.0000
Pm3 Pm 0.0000 0.3813 0.5000
Pm4 Pm 0.2038 0.2038 0.5000
Se1 Se 0.0000 0.1750 0.5000
Se2 Se 0.1256 0.1256 0.0000
S1 S 0.1512 0.3488 0.2500
```

Summary:
Its volume is 1491.6 Å³ per cell. For the uncorrected formation energy, the calculation gives -1.82 eV/atom. The value obtained for the calculated density is 6.5 g/cm³. The size of the total moment is 0.61 μB/f.u.



Record 3
Mn2Si: optimized geometry, PBE.

CIF file:
```
data_Mn2Si
_cell_length_a 3.8600
_cell_length_b 3.8600
_cell_length_c 2.5676
_cell_angle_alpha 90.00
_cell_angle_beta 90.00
_cell_angle_gamma 120.00
_space_group_name_H-M_alt 'P -3 m 1'
_space_group_IT_number 164
_space_group_name_Hall '-P 3 2"'
loop_
_atom_site_label
_atom_site_type_symbol
_atom_site_fract_x
_atom_site_fract_y
_atom_site_fract_z
Mn1 Mn 0.3333 0.6667 0.1828
Si1 Si 0.0000 0.0000 0.5000
```

Summary:
Its volume is 33.1 Å³ per cell. For the uncorrected formation energy, the calculation gives -0.17 eV/atom. The value obtained for the calculated density is 6.9 g/cm³. The size of the total moment is 0.00 μB/f.u.



Record 4
Nd2Dy7Th2: optimized geometry, PBE.

CIF file:
```
data_Nd2Dy7Th2
_cell_length_a 11.1537
_cell_length_b 11.5445
_cell_length_c 6.1389
_cell_angle_alpha 90.00
_cell_angle_beta 113.51
_cell_angle_gamma 90.00
_space_group_name_H-M_alt 'C 1 2/m 1'
_space_group_IT_number 12
loop_
_space_group_symop_operation_xyz
'x,y,z'
'-x,-y,-z'
'-x,y,-z'
'x,-y,z'
'x+1/2,y+1/2,z'
'-x+1/2,-y+1/2,-z'
'-x+1/2,y+1/2,-z'
'x+1/2,-y+1/2,z'
loop_
_atom_site_label
_atom_site_type_symbol
_atom_site_fract_x
_atom_site_fract_y
_atom_site_fract_z
Nd1 Nd 0.0000 0.2145 0.0000
Dy1 Dy 0.0000 0.0000 0.5000
Dy2 Dy 0.1715 0.2390 0.6681
Dy3 Dy 0.2442 0.0000 0.0785
Th1 Th 0.0912 0.5000 0.3126
```

Summary:
Its volume is 724.9 Å³ per cell. The value obtained for the calculated density is 8.7 g/cm³. The formation energy is 183 meV per atom. The size of the total moment is 0.00 μB/f.u.



Record 5
GeH2RuPt: optimized geometry, PBE.

CIF file:
```
data_GeH2RuPt
_cell_length_a 3.6158
_cell_length_b 3.6158
_cell_length_c 5.2549
_cell_angle_alpha 90.00
_cell_angle_beta 90.00
_cell_angle_gamma 90.00
_space_group_name_H-M_alt 'P 4/m m m'
_space_group_IT_number 123
_space_group_name_Hall '-P 4 2'
loop_
_atom_site_label
_atom_site_type_symbol
_atom_site_fract_x
_atom_site_fract_y
_atom_site_fract_z
Ge1 Ge 0.0000 0.0000 0.0000
H1 H 0.0000 0.5000 0.0000
Ru1 Ru 0.5000 0.5000 0.5000
Pt1 Pt 0.0000 0.0000 0.5000
```

Summary:
The value obtained for the total energy is -0.3366 Ry/atom. Its volume is 68.7 Å³ per cell. The value obtained for the calculated density is 9.0 g/cm³. The size of the total moment is 2.02 μB/f.u.



Record 6
Ho3CuSi6Pt2: optimized geometry, PBE.

CIF file:
```
data_Ho3CuSi6Pt2
_cell_length_a 5.2132
_cell_length_b 5.2132
_cell_length_c 9.2875
_cell_angle_alpha 90.00
_cell_angle_beta 90.00
_cell_angle_gamma 120.00
_space_group_name_H-M_alt 'P -3 m 1'
_space_group_IT_number 164
_space_group_name_Hall '-P 3 2"'
loop_
_atom_site_label
_atom_site_type_symbol
_atom_site_fract_x
_atom_site_fract_y
_atom_site_fract_z
Ho1 Ho 0.0000 0.0000 0.0000
Ho2 Ho 0.3333 0.6667 0.5741
Cu1 Cu 0.0000 0.0000 0.5000
Si1 Si 0.1642 0.3283 0.2831
Pt1 Pt 0.3333 0.6667 0.0767
```

Summary:
Its volume is 218.6 Å³ per cell. For the uncorrected formation energy, the calculation gives -0.50 eV/atom. The value obtained for the calculated density is 8.5 g/cm³. The size of the total moment is 0.00 μB/f.u.



Record 7
Pr4AlInAg2: optimized geometry, PBE.

CIF file:
```
data_Pr4AlInAg2
_cell_length_a 5.4048
_cell_length_b 5.4048
_cell_length_c 26.5494
_cell_angle_alpha 90.00
_cell_angle_beta 90.00
_cell_angle_gamma 120.00
_space_group_name_H-M_alt 'R -3 m'
_space_group_IT_number 166
_space_group_name_Hall '-R 3 2"'
loop_
_atom_site_label
_atom_site_type_symbol
_atom_site_fract_x
_atom_site_fract_y
_atom_site_fract_z
Pr1 Pr 0.0000 0.0000 0.1219
Pr2 Pr 0.0000 0.0000 0.3720
Al1 Al 0.0000 0.0000 0.0000
In1 In 0.0000 0.0000 0.5000
Ag1 Ag 0.0000 0.0000 0.2476
```

Summary:
Its volume is 671.7 Å³ per cell. The value obtained for the calculated density is 6.8 g/cm³. The formation energy is -318 meV per atom. The size of the total moment is 0.02 μB/f.u.



Record 8
Pr12Sm3Ho: optimized geometry, PBE.

CIF file:
```
data_Pr12Sm3Ho
_cell_length_a 5.2134
_cell_length_b 5.2134
_cell_length_c 20.8174
_cell_angle_alpha 90.00
_cell_angle_beta 90.00
_cell_angle_gamma 90.00
_space_group_name_H-M_alt 'P 4/m m m'
_space_group_IT_number 123
_space_group_name_Hall '-P 4 2'
loop_
_atom_site_label
_atom_site_type_symbol
_atom_site_fract_x
_atom_site_fract_y
_atom_site_fract_z
Pr1 Pr 0.0000 0.0000 0.0000
Pr2 Pr 0.0000 0.0000 0.2487
Pr3 Pr 0.0000 0.0000 0.5000
Pr4 Pr 0.0000 0.5000 0.1236
Pr5 Pr 0.0000 0.5000 0.3745
Sm1 Sm 0.5000 0.5000 0.2489
Sm2 Sm 0.5000 0.5000 0.5000
Ho1 Ho 0.5000 0.5000 0.0000
```

Summary:
Its volume is 565.8 Å³ per cell. The value obtained for the calculated density is 6.8 g/cm³. The formation energy is 12 meV per atom. The size of the total moment is 0.00 μB/f.u.